1.
DFT (PBE) results for Ho2Be17 after structural relaxation.

Lattice parameters (Å, degrees): 5.813 5.813 5.813 83.00 83.00 83.00
Fractional positions:
Ho 0.161 0.161 0.161
Ho 0.839 0.839 0.839
Be 0.000 0.500 0.500
Be 0.162 0.162 0.657
Be 0.162 0.657 0.162
Be 0.221 0.500 0.779
Be 0.221 0.779 0.500
Be 0.343 0.838 0.838
Be 0.405 0.405 0.405
Be 0.500 0.000 0.500
Be 0.500 0.221 0.779
Be 0.500 0.500 0.000
Be 0.500 0.779 0.221
Be 0.595 0.595 0.595
Be 0.657 0.162 0.162
Be 0.779 0.221 0.500
Be 0.779 0.500 0.221
Be 0.838 0.343 0.838
Be 0.838 0.838 0.343

E = -3.963 eV/atom
V = 10.1 Å³/atom
theoretical density = 4.2 g cm⁻³
D(E_F) = 0.23 states/eV per atom

2.
DFT (PBE) results for Sm2Y5Ho4 after structural relaxation.

Lattice parameters (Å, degrees): 6.661 6.661 9.236 104.50 104.50 67.76
Fractional positions:
Sm 0.147 0.147 0.123
Sm 0.853 0.853 0.877
Y 0.000 0.000 0.500
Y 0.212 0.652 0.219
Y 0.348 0.788 0.781
Y 0.652 0.212 0.219
Y 0.788 0.348 0.781
Ho 0.324 0.324 0.502
Ho 0.329 0.329 0.875
Ho 0.671 0.671 0.125
Ho 0.676 0.676 0.498

V = 32.9 Å³/atom
theoretical density = 6.5 g cm⁻³
D(E_F) = 1.70 states/eV per atom
relative energy among the computed polymorphs = 0.000 eV per atom

3.
DFT (PBE) results for YAs2Pd2 after structural relaxation.

Lattice parameters (Å, degrees): 7.607 7.607 3.221 90.00 90.00 90.00
Fractional positions:
Y 0.000 0.000 0.000
Y 0.500 0.500 0.000
As 0.151 0.349 0.000
As 0.349 0.849 0.000
As 0.651 0.151 0.000
As 0.849 0.651 0.000
Pd 0.148 0.648 0.500
Pd 0.352 0.148 0.500
Pd 0.648 0.852 0.500
Pd 0.852 0.352 0.500

E = -5.780 eV/atom
V = 18.6 Å³/atom
theoretical density = 8.0 g cm⁻³
D(E_F) = 0.50 states/eV per atom

4.
DFT (PBE) results for TbHf4Zn5 after structural relaxation.

Lattice parameters (Å, degrees): 3.353 3.353 16.801 90.00 90.00 90.00
Fractional positions:
Tb 0.000 0.000 0.000
Hf 0.000 0.000 0.210
Hf 0.000 0.000 0.403
Hf 0.000 0.000 0.597
Hf 0.000 0.000 0.790
Zn 0.500 0.500 0.117
Zn 0.500 0.500 0.307
Zn 0.500 0.500 0.500
Zn 0.500 0.500 0.693
Zn 0.500 0.500 0.883

E = -5.288 eV/atom
V = 18.9 Å³/atom
theoretical density = 10.5 g cm⁻³
D(E_F) = 0.57 states/eV per atom

5.
DFT (PBE) results for CeEr2Hf after structural relaxation.

Lattice parameters (Å, degrees): 5.415 5.415 5.415 60.00 60.00 60.00
Fractional positions:
Ce 0.000 0.000 0.000
Er 0.250 0.250 0.250
Er 0.750 0.750 0.750
Hf 0.500 0.500 0.500

V = 28.1 Å³/atom
theoretical density = 9.7 g cm⁻³
D(E_F) = 2.75 states/eV per atom
relative energy among the computed polymorphs = 0.150 eV per atom

6.
DFT (PBE) results for Al7Ga2Tc2 after structural relaxation.

Lattice parameters (Å, degrees): 6.225 6.225 4.975 103.21 103.21 81.14
Fractional positions:
Al 0.000 0.000 0.000
Al 0.070 0.428 0.257
Al 0.428 0.070 0.257
Al 0.488 0.488 0.747
Al 0.512 0.512 0.253
Al 0.572 0.930 0.743
Al 0.930 0.572 0.743
Ga 0.169 0.831 0.500
Ga 0.831 0.169 0.500
Tc 0.228 0.228 0.819
Tc 0.772 0.772 0.181

E = -4.984 eV/atom
V = 16.5 Å³/atom
theoretical density = 4.8 g cm⁻³
D(E_F) = 0.28 states/eV per atom

7.
DFT (PBE) results for AlSiAu after structural relaxation.

Lattice parameters (Å, degrees): 3.221 3.221 5.704 90.00 90.00 120.00
Fractional positions:
Al 0.000 0.000 0.000
Si 0.333 0.667 0.662
Au 0.667 0.333 0.334

V = 17.1 Å³/atom
theoretical density = 8.2 g cm⁻³
D(E_F) = 0.31 states/eV per atom
raw formation energy = 0.00 eV per atom

8.
DFT (PBE) results for Tb2Y2Zn after structural relaxation.

Lattice parameters (Å, degrees): 11.506 11.506 11.506 162.18 162.18 25.31
Fractional positions:
Tb 0.195 0.195 0.000
Tb 0.805 0.805 0.000
Y 0.421 0.421 0.000
Y 0.579 0.579 0.000
Zn 0.000 0.000 0.000

V = 28.5 Å³/atom
theoretical density = 6.5 g cm⁻³
D(E_F) = 1.25 states/eV per atom
relative energy among the computed polymorphs = 0.000 eV per atom

> Which value of theoretical density does entry 8 give?

6.5 g cm⁻³